NaAgPbBr4: optimized geometry, PBE-GGA.

Cell and atoms, written as CIF:
```
data_NaAgPbBr4
_chemical_formula_sum 'Na4 Ag4 Pb4 Br16'
_symmetry_space_group_name_H-M 'I m m a'
_symmetry_Int_Tables_number 74
_symmetry_space_group_name_Hall '-I 2b 2'
_cell_length_a 8.603
_cell_length_b 8.825
_cell_length_c 12.277
_cell_angle_alpha 90.00
_cell_angle_beta 90.00
_cell_angle_gamma 90.00
loop_
_atom_site_label
_atom_site_fract_x
_atom_site_fract_y
_atom_site_fract_z
Na1 0.250 0.250 0.250
Ag1 0.000 0.250 0.644
Pb1 0.000 0.000 0.000
Br1 0.000 0.015 0.247
Br2 0.249 0.250 0.002
```

Summary:
Formation energy without anion corrections ... -0.933 eV per atom


Na2SmRuO4: optimized geometry, PBE-GGA.

Cell and atoms, written as CIF:
```
data_Na2SmRuO4
_chemical_formula_sum 'Na2 Sm1 Ru1 O4'
_symmetry_space_group_name_H-M 'P 1 2/m 1'
_symmetry_Int_Tables_number 10
_cell_length_a 5.491
_cell_length_b 3.387
_cell_length_c 5.902
_cell_angle_alpha 90.00
_cell_angle_beta 109.09
_cell_angle_gamma 90.00
loop_
_symmetry_equiv_pos_as_xyz
'x,y,z'
'-x,-y,-z'
'-x,y,-z'
'x,-y,z'
loop_
_atom_site_label
_atom_site_fract_x
_atom_site_fract_y
_atom_site_fract_z
Na1 0.000 0.000 0.000
Na2 0.500 0.500 0.000
Sm1 0.000 0.500 0.500
Ru1 0.500 0.000 0.500
O1 0.258 0.000 0.725
O2 0.301 0.500 0.298
```

Summary:
Formation energy without anion corrections ... -1.819 eV per atom


CsCd2Sn2Pb: optimized geometry, PBE-GGA.

Cell and atoms, written as CIF:
```
data_CsCd2Sn2Pb
_chemical_formula_sum 'Cs1 Cd2 Sn2 Pb1'
_symmetry_space_group_name_H-M 'P -3 m 1'
_symmetry_Int_Tables_number 164
_symmetry_space_group_name_Hall '-P 3 2"'
_cell_length_a 5.0928
_cell_length_b 5.0928
_cell_length_c 9.3214
_cell_angle_alpha 90.00
_cell_angle_beta 90.00
_cell_angle_gamma 120.00
loop_
_atom_site_label
_atom_site_fract_x
_atom_site_fract_y
_atom_site_fract_z
Cs1 0.0000 0.0000 0.0000
Cd1 0.3333 0.6667 0.6683
Sn1 0.3333 0.6667 0.2936
Pb1 0.0000 0.0000 0.5000
```

Summary:
Formation enthalpy at 0 K ... -63 meV/atom


CaHgAs2: optimized geometry, PBE-GGA.

Cell and atoms, written as CIF:
```
data_CaHgAs2
_chemical_formula_sum 'Ca4 Hg4 As8'
_symmetry_space_group_name_H-M 'F -4 3 m'
_symmetry_Int_Tables_number 216
_symmetry_space_group_name_Hall 'F -4 2 3'
_cell_length_a 7.194
_cell_length_b 7.194
_cell_length_c 7.194
_cell_angle_alpha 90.00
_cell_angle_beta 90.00
_cell_angle_gamma 90.00
loop_
_atom_site_label
_atom_site_fract_x
_atom_site_fract_y
_atom_site_fract_z
Ca1 0.000 0.000 0.000
Hg1 0.250 0.250 0.250
As1 0.000 0.000 0.500
As2 0.250 0.250 0.750
```

Summary:
Formation enthalpy at 0 K ... -185 meV/atom


CeAgBiPt: optimized geometry, PBE-GGA.

Cell and atoms, written as CIF:
```
data_CeAgBiPt
_chemical_formula_sum 'Ce4 Ag4 Bi4 Pt4'
_symmetry_space_group_name_H-M 'F -4 3 m'
_symmetry_Int_Tables_number 216
_symmetry_space_group_name_Hall 'F -4 2 3'
_cell_length_a 7.146
_cell_length_b 7.146
_cell_length_c 7.146
_cell_angle_alpha 90.00
_cell_angle_beta 90.00
_cell_angle_gamma 90.00
loop_
_atom_site_label
_atom_site_fract_x
_atom_site_fract_y
_atom_site_fract_z
Ce1 0.000 0.000 0.000
Ag1 0.250 0.250 0.250
Bi1 0.000 0.000 0.500
Pt1 0.250 0.250 0.750
```

Summary:
Formation enthalpy at 0 K ... -500 meV/atom


Sm4Te2PtS: optimized geometry, PBE-GGA.

Cell and atoms, written as CIF:
```
data_Sm4Te2PtS
_chemical_formula_sum 'Sm4 Te2 Pt1 S1'
_symmetry_space_group_name_H-M 'P 1 2/m 1'
_symmetry_Int_Tables_number 10
_cell_length_a 7.444
_cell_length_b 4.177
_cell_length_c 7.612
_cell_angle_alpha 90.00
_cell_angle_beta 108.93
_cell_angle_gamma 90.00
loop_
_symmetry_equiv_pos_as_xyz
'x,y,z'
'-x,-y,-z'
'-x,y,-z'
'x,-y,z'
loop_
_atom_site_label
_atom_site_fract_x
_atom_site_fract_y
_atom_site_fract_z
Sm1 0.230 0.000 0.213
Sm2 0.265 0.500 0.782
Te1 0.000 0.000 0.500
Te2 0.500 0.500 0.500
Pt1 0.000 0.500 0.000
S1 0.500 0.000 0.000
```

Summary:
Formation energy without anion corrections ... -1.487 eV per atom


Ca3I: optimized geometry, PBE-GGA.

Cell and atoms, written as CIF:
```
data_Ca3I
_chemical_formula_sum 'Ca3 I1'
_symmetry_space_group_name_H-M 'P m m 2'
_symmetry_Int_Tables_number 25
_cell_length_a 3.858
_cell_length_b 3.900
_cell_length_c 10.846
_cell_angle_alpha 90.00
_cell_angle_beta 90.00
_cell_angle_gamma 90.00
loop_
_symmetry_equiv_pos_as_xyz
'x,y,z'
'-x,-y,z'
'-x,y,z'
'x,-y,z'
loop_
_atom_site_label
_atom_site_fract_x
_atom_site_fract_y
_atom_site_fract_z
Ca1 0.000 0.000 0.000
Ca2 0.000 0.500 0.447
Ca3 0.500 0.500 0.746
I1 0.500 0.000 0.261
```

Summary:
Formation energy without anion corrections ... -0.395 eV per atom


Cs2GaCBr6: optimized geometry, PBE-GGA.

Cell and atoms, written as CIF:
```
data_Cs2GaCBr6
_chemical_formula_sum 'Cs4 Ga2 C2 Br12'
_symmetry_space_group_name_H-M 'I 4/m m m'
_symmetry_Int_Tables_number 139
_symmetry_space_group_name_Hall '-I 4 2'
_cell_length_a 7.496
_cell_length_b 7.496
_cell_length_c 10.558
_cell_angle_alpha 90.00
_cell_angle_beta 90.00
_cell_angle_gamma 90.00
loop_
_atom_site_label
_atom_site_fract_x
_atom_site_fract_y
_atom_site_fract_z
Cs1 0.000 0.500 0.250
Ga1 0.000 0.000 0.000
C1 0.000 0.000 0.500
Br1 0.000 0.000 0.255
Br2 0.243 0.243 0.500
```

Summary:
Formation energy without anion corrections ... -0.470 eV per atom


NpGa2Pt: optimized geometry, PBE-GGA.

Cell and atoms, written as CIF:
```
data_NpGa2Pt
_chemical_formula_sum 'Np4 Ga8 Pt4'
_symmetry_space_group_name_H-M 'P n m a'
_symmetry_Int_Tables_number 62
_cell_length_a 8.292
_cell_length_b 6.745
_cell_length_c 5.493
_cell_angle_alpha 90.00
_cell_angle_beta 90.00
_cell_angle_gamma 90.00
loop_
_symmetry_equiv_pos_as_xyz
'x,y,z'
'-x,-y,-z'
'-x+1/2,-y,z+1/2'
'x+1/2,y,-z+1/2'
'x+1/2,-y+1/2,-z+1/2'
'-x+1/2,y+1/2,z+1/2'
'-x,y+1/2,-z'
'x,-y+1/2,z'
loop_
_atom_site_label
_atom_site_fract_x
_atom_site_fract_y
_atom_site_fract_z
Np1 0.040 0.250 0.118
Ga1 0.187 0.052 0.622
Pt1 0.090 0.750 0.370
```

Summary:
Formation enthalpy at 0 K ... -404 meV/atom


Zr2Sb: optimized geometry, PBE-GGA.

Cell and atoms, written as CIF:
```
data_Zr2Sb
_chemical_formula_sum 'Zr4 Sb2'
_symmetry_space_group_name_H-M 'P 63/m m c'
_symmetry_Int_Tables_number 194
_symmetry_space_group_name_Hall '-P 6c 2c'
_cell_length_a 5.0843
_cell_length_b 5.0843
_cell_length_c 5.9501
_cell_angle_alpha 90.00
_cell_angle_beta 90.00
_cell_angle_gamma 120.00
loop_
_atom_site_label
_atom_site_fract_x
_atom_site_fract_y
_atom_site_fract_z
Zr1 0.0000 0.0000 0.0000
Zr2 0.3333 0.6667 0.2500
Sb1 0.3333 0.6667 0.7500
```

Summary:
Formation energy without anion corrections ... -0.500 eV per atom


NbAlZnAu: optimized geometry, PBE-GGA.

Cell and atoms, written as CIF:
```
data_NbAlZnAu
_chemical_formula_sum 'Nb1 Al1 Zn1 Au1'
_symmetry_space_group_name_H-M 'P m m m'
_symmetry_Int_Tables_number 47
_cell_length_a 3.798
_cell_length_b 4.109
_cell_length_c 4.197
_cell_angle_alpha 90.00
_cell_angle_beta 90.00
_cell_angle_gamma 90.00
loop_
_symmetry_equiv_pos_as_xyz
'x,y,z'
'-x,-y,-z'
'-x,-y,z'
'x,y,-z'
'x,-y,-z'
'-x,y,z'
'-x,y,-z'
'x,-y,z'
loop_
_atom_site_label
_atom_site_fract_x
_atom_site_fract_y
_atom_site_fract_z
Nb1 0.000 0.000 0.000
Al1 0.500 0.500 0.000
Zn1 0.500 0.000 0.500
Au1 0.000 0.500 0.500
```

Summary:
Formation enthalpy at 0 K ... -285 meV/atom


LuAl2Cd: optimized geometry, PBE-GGA.

Cell and atoms, written as CIF:
```
data_LuAl2Cd
_chemical_formula_sum 'Lu1 Al2 Cd1'
_symmetry_space_group_name_H-M 'P 4/m m m'
_symmetry_Int_Tables_number 123
_symmetry_space_group_name_Hall '-P 4 2'
_cell_length_a 4.341
_cell_length_b 4.341
_cell_length_c 4.272
_cell_angle_alpha 90.00
_cell_angle_beta 90.00
_cell_angle_gamma 90.00
loop_
_atom_site_label
_atom_site_fract_x
_atom_site_fract_y
_atom_site_fract_z
Lu1 0.000 0.000 0.000
Al1 0.000 0.500 0.500
Cd1 0.500 0.500 0.000
```

Summary:
Formation enthalpy at 0 K ... -295 meV/atom
Distance to the lowest polymorph of the same formula ... 0 meV/atom


Result set for total DFT energy (no corrections): -3.0144 -6.3774 -2.4629 -3.0854 -5.1764 -5.9028 -2.2840 -2.8700 -6.6630 -7.5734 -4.8763 -3.5256 eV per atom, one per record in the order listed.